Record 1
# PBE RbAl2Ga2, optimized geometry
# Excess energy over the best structure of this formula in the dataset = 0.0 meV per atom
data_RbAl2Ga2
_symmetry_space_group_name_H-M 'I 4/m m m'
_symmetry_Int_Tables_number 139
_symmetry_space_group_name_Hall '-I 4 2'
_cell_length_a 4.438
_cell_length_b 4.438
_cell_length_c 11.759
_cell_angle_alpha 90.00
_cell_angle_beta 90.00
_cell_angle_gamma 90.00
loop_
_atom_site_label
_atom_site_type_symbol
_atom_site_fract_x
_atom_site_fract_y
_atom_site_fract_z
Rb1 Rb 0.000 0.000 0.000
Al1 Al 0.000 0.500 0.250
Ga1 Ga 0.000 0.000 0.383



Record 2
# PBE Hg2BiPb5, optimized geometry
# Excess energy over the best structure of this formula in the dataset = 4.0 meV per atom
data_Hg2BiPb5
_symmetry_space_group_name_H-M 'I 4/m c m'
_symmetry_Int_Tables_number 140
_symmetry_space_group_name_Hall '-I 4 2c'
_cell_length_a 8.326
_cell_length_b 8.326
_cell_length_c 14.108
_cell_angle_alpha 90.00
_cell_angle_beta 90.00
_cell_angle_gamma 90.00
loop_
_atom_site_label
_atom_site_type_symbol
_atom_site_fract_x
_atom_site_fract_y
_atom_site_fract_z
Hg1 Hg 0.146 0.354 0.000
Bi1 Bi 0.000 0.000 0.250
Pb1 Pb 0.000 0.000 0.000
Pb2 Pb 0.147 0.353 0.343



Record 3
# PBE GaAgGeAu, optimized geometry
# Uncorrected energy = -53.68 eV/cell
data_GaAgGeAu
_symmetry_space_group_name_H-M 'F -4 3 m'
_symmetry_Int_Tables_number 216
_symmetry_space_group_name_Hall 'F -4 2 3'
_cell_length_a 6.648
_cell_length_b 6.648
_cell_length_c 6.648
_cell_angle_alpha 90.00
_cell_angle_beta 90.00
_cell_angle_gamma 90.00
loop_
_atom_site_label
_atom_site_type_symbol
_atom_site_fract_x
_atom_site_fract_y
_atom_site_fract_z
Ga1 Ga 0.000 0.000 0.000
Ag1 Ag 0.250 0.250 0.750
Ge1 Ge 0.000 0.000 0.500
Au1 Au 0.250 0.250 0.250



Record 4
# PBE CoGeSbTe2, optimized geometry
# Excess energy over the best structure of this formula in the dataset = 662.5 meV per atom
# Uncorrected formation energy = 1.093 eV/atom
data_CoGeSbTe2
_symmetry_space_group_name_H-M 'P 4/m m m'
_symmetry_Int_Tables_number 123
_symmetry_space_group_name_Hall '-P 4 2'
_cell_length_a 5.350
_cell_length_b 5.350
_cell_length_c 5.315
_cell_angle_alpha 90.00
_cell_angle_beta 90.00
_cell_angle_gamma 90.00
loop_
_atom_site_label
_atom_site_type_symbol
_atom_site_fract_x
_atom_site_fract_y
_atom_site_fract_z
Co1 Co 0.000 0.000 0.000
Ge1 Ge 0.500 0.500 0.500
Sb1 Sb 0.500 0.500 0.000
Te1 Te 0.000 0.500 0.500



Record 5
# PBE Pm3NdY12, optimized geometry
# Uncorrected energy = -96.25 eV/cell
data_Pm3NdY12
_symmetry_space_group_name_H-M 'P 4/m m m'
_symmetry_Int_Tables_number 123
_symmetry_space_group_name_Hall '-P 4 2'
_cell_length_a 5.080
_cell_length_b 5.080
_cell_length_c 20.323
_cell_angle_alpha 90.00
_cell_angle_beta 90.00
_cell_angle_gamma 90.00
loop_
_atom_site_label
_atom_site_type_symbol
_atom_site_fract_x
_atom_site_fract_y
_atom_site_fract_z
Pm1 Pm 0.000 0.000 0.000
Pm2 Pm 0.000 0.000 0.250
Nd1 Nd 0.000 0.000 0.500
Y1 Y 0.000 0.500 0.125
Y2 Y 0.000 0.500 0.375
Y3 Y 0.500 0.500 0.000
Y4 Y 0.500 0.500 0.250
Y5 Y 0.500 0.500 0.500



Record 6
# PBE Tl2Te2Ru, optimized geometry
# Excess energy over the best structure of this formula in the dataset = 68.9 meV per atom
# Uncorrected formation energy = 0.759 eV/atom
data_Tl2Te2Ru
_symmetry_space_group_name_H-M 'I 4/m m m'
_symmetry_Int_Tables_number 139
_symmetry_space_group_name_Hall '-I 4 2'
_cell_length_a 4.091
_cell_length_b 4.091
_cell_length_c 18.687
_cell_angle_alpha 90.00
_cell_angle_beta 90.00
_cell_angle_gamma 90.00
loop_
_atom_site_label
_atom_site_type_symbol
_atom_site_fract_x
_atom_site_fract_y
_atom_site_fract_z
Tl1 Tl 0.000 0.000 0.079
Te1 Te 0.000 0.500 0.250
Ru1 Ru 0.000 0.000 0.500



Record 7
# PBE Dy5Cd2Co, optimized geometry
# Uncorrected energy = -127.55 eV/cell
data_Dy5Cd2Co
_symmetry_space_group_name_H-M 'C m c m'
_symmetry_Int_Tables_number 63
_symmetry_space_group_name_Hall '-C 2c 2'
_cell_length_a 5.619
_cell_length_b 12.130
_cell_length_c 12.586
_cell_angle_alpha 90.00
_cell_angle_beta 90.00
_cell_angle_gamma 90.00
loop_
_atom_site_label
_atom_site_type_symbol
_atom_site_fract_x
_atom_site_fract_y
_atom_site_fract_z
Dy1 Dy 0.000 0.080 0.106
Dy2 Dy 0.000 0.370 0.064
Dy3 Dy 0.000 0.409 0.750
Cd1 Cd 0.000 0.185 0.637
Co1 Co 0.000 0.236 0.250



Record 8
# PBE Tb3SmDy, optimized geometry
# Excess energy over the best structure of this formula in the dataset = 286.5 meV per atom
data_Tb3SmDy
_symmetry_space_group_name_H-M 'P 1 21/m 1'
_symmetry_Int_Tables_number 11
_symmetry_space_group_name_Hall '-P 2yb'
_cell_length_a 3.611
_cell_length_b 11.623
_cell_length_c 8.548
_cell_angle_alpha 90.00
_cell_angle_beta 102.08
_cell_angle_gamma 90.00
loop_
_atom_site_label
_atom_site_type_symbol
_atom_site_fract_x
_atom_site_fract_y
_atom_site_fract_z
Tb1 Tb 0.156 0.000 0.309
Tb2 Tb 0.336 0.250 0.642
Sm1 Sm 0.037 0.250 0.986
Dy1 Dy 0.323 0.750 0.677



Magnetization values (in μB/cell) by entry order: 0.00 0.00 0.00 2.18 0.00 3.66 1.08 0.00.
Mass density values (in Mg/m³) by entry order: 4.00 11.18 10.11 5.55 5.21 8.12 8.49 7.48.